1.
## Nb2In2Ge (PBE)

Data for a relaxed structure of Nb2In2Ge.

Lattice parameters (Å, degrees): 6.730 6.730 4.591 90.00 90.00 90.00
Element x y z (fractional)
Nb (0.352, 0.852, 0.000)
Nb (0.852, 0.648, 0.000)
Nb (0.648, 0.148, 0.000)
Nb (0.148, 0.352, 0.000)
Ge (0.000, 0.000, 0.000)
Ge (0.500, 0.500, 0.000)
In (0.160, 0.660, 0.500)
In (0.660, 0.840, 0.500)
In (0.840, 0.340, 0.500)
In (0.340, 0.160, 0.500)

**Energy relative to the elements**: -0.25 eV/f.u.
**Uncorrected energy**: -6.10 eV/atom

2.
## Sm5In2Te2 (PBE)

Data for a relaxed structure of Sm5In2Te2.

Lattice parameters (Å, degrees): 8.268 8.258 8.958 117.45 90.00 90.00
Element x y z (fractional)
Sm (0.000, 0.000, 0.000)
Sm (0.500, 0.500, 0.000)
Sm (0.834, 0.808, 0.276)
Sm (0.166, 0.467, 0.276)
Sm (0.334, 0.967, 0.276)
Sm (0.666, 0.308, 0.276)
Sm (0.166, 0.192, 0.724)
Sm (0.834, 0.533, 0.724)
Sm (0.666, 0.033, 0.724)
Sm (0.334, 0.692, 0.724)
In (0.625, 0.872, 0.000)
In (0.375, 0.128, 0.000)
In (0.125, 0.628, 0.000)
In (0.875, 0.372, 0.000)
Te (0.000, 0.201, 0.402)
Te (0.500, 0.701, 0.402)
Te (0.000, 0.799, 0.598)
Te (0.500, 0.299, 0.598)

**Formation energy (no corrections)**: -0.87 eV per atom
**Uncorrected energy**: -4.79 eV/atom

3.
## HgRuF6 (PBE)

Data for a relaxed structure of HgRuF6.

Lattice parameters (Å, degrees): 5.104 5.270 5.270 120.00 90.00 90.00
Last column: magnetic moment on the atom in μB.
Element x y z (fractional)
Hg (0.500, 0.000, 0.000)  -0.02
Ru (0.000, 0.667, 0.333)  1.55
F (0.775, 0.971, 0.626)  0.07
F (0.225, 0.971, 0.345)  0.07
F (0.225, 0.655, 0.626)  0.07
F (0.775, 0.655, 0.029)  0.07
F (0.775, 0.374, 0.345)  0.07
F (0.225, 0.374, 0.029)  0.07

**Formation energy (no corrections)**: -1.60 eV per atom
**Uncorrected energy**: -4.20 eV/atom

4.
## LiPrCu4 (PBE)

Data for a relaxed structure of LiPrCu4.

Lattice parameters (Å, degrees): 5.147 5.147 5.147 60.00 60.00 60.00
Element x y z (fractional)
Pr (0.250, 0.250, 0.250)
Cu (0.627, 0.627, 0.118)
Cu (0.627, 0.118, 0.627)
Cu (0.627, 0.627, 0.627)
Cu (0.118, 0.627, 0.627)
Li (0.000, 0.000, 0.000)

**Energy relative to the elements**: -0.84 eV/f.u.
**Uncorrected energy**: -3.99 eV/atom

5.
## Y2AgCl (PBE)

Data for a relaxed structure of Y2AgCl.

Lattice parameters (Å, degrees): 3.429 3.429 9.052 90.00 90.00 110.42
Element x y z (fractional)
Ag (0.500, 0.500, 0.250)
Cl (0.500, 0.500, 0.750)
Y (0.000, 0.000, 0.003)
Y (0.000, 0.000, 0.497)

**Formation energy (no corrections)**: -0.57 eV per atom
**Excess energy over the best structure of this formula in the dataset**: 0.197 eV per atom
**Uncorrected energy**: -4.97 eV/atom

6.
## ScSiMo2 (PBE)

Data for a relaxed structure of ScSiMo2.

Lattice parameters (Å, degrees): 5.220 5.242 2.806 80.11 79.48 117.13
Element x y z (fractional)
Mo (0.000, 0.000, 0.000)
Mo (0.000, 0.500, 0.500)
Sc (0.500, 0.500, 0.000)
Si (0.500, 0.000, 0.500)

**Formation energy (no corrections)**: -0.03 eV per atom
**Uncorrected energy**: -8.38 eV/atom

7.
## SmIn2 (PBE)

Data for a relaxed structure of SmIn2.

Lattice parameters (Å, degrees): 6.050 6.050 6.050 60.00 60.00 60.00
Element x y z (fractional)
Sm (0.000, 0.000, 0.000)
Sm (0.250, 0.250, 0.250)
In (0.125, 0.625, 0.625)
In (0.625, 0.125, 0.625)
In (0.625, 0.625, 0.625)
In (0.625, 0.625, 0.125)

**Energy relative to the elements**: -1.20 eV/f.u.
**Uncorrected energy**: -3.80 eV/atom

8.
## Ac2PrHoS6 (PBE)

Data for a relaxed structure of Ac2PrHoS6.

Lattice parameters (Å, degrees): 7.342 7.342 7.589 61.07 61.07 60.00
Element x y z (fractional)
Ac (0.528, 0.528, 0.415)
Ac (0.026, 0.026, 0.921)
Pr (0.813, 0.813, 0.561)
Ho (0.316, 0.316, 0.052)
S (0.597, 0.190, 0.258)
S (0.190, 0.955, 0.258)
S (0.955, 0.597, 0.258)
S (0.441, 0.682, 0.765)
S (0.682, 0.112, 0.765)
S (0.112, 0.441, 0.765)

**Formation energy (no corrections)**: -2.09 eV per atom
**Uncorrected energy**: -6.32 eV/atom

9.
## SrLu3Rh (PBE)

Data for a relaxed structure of SrLu3Rh.

Lattice parameters (Å, degrees): 5.393 5.393 5.393 90.00 90.00 90.00
Element x y z (fractional)
Sr (0.500, 0.500, 0.500)
Lu (0.000, 0.500, 0.000)
Lu (0.000, 0.000, 0.500)
Lu (0.500, 0.000, 0.000)
Rh (0.000, 0.000, 0.000)

**Energy relative to the elements**: -1.62 eV/f.u.
**Uncorrected energy**: -4.84 eV/atom

10.
## Li3SmIn3 (PBE)

Data for a relaxed structure of Li3SmIn3.

Lattice parameters (Å, degrees): 7.075 7.075 7.075 90.00 90.00 90.00
Element x y z (fractional)
Li (0.000, 0.250, 0.500)
Li (0.000, 0.750, 0.500)
Li (0.500, 0.000, 0.750)
Li (0.750, 0.500, 0.000)
Li (0.500, 0.000, 0.250)
Li (0.250, 0.500, 0.000)
Sm (0.500, 0.500, 0.500)
Sm (0.000, 0.000, 0.000)
In (0.250, 0.000, 0.500)
In (0.000, 0.500, 0.250)
In (0.500, 0.750, 0.000)
In (0.750, 0.000, 0.500)
In (0.000, 0.500, 0.750)
In (0.500, 0.250, 0.000)

**Energy relative to the elements**: 1.24 eV/f.u.
**Uncorrected energy**: -2.49 eV/atom

11.
## LaSi2Ir5 (PBE)

Data for a relaxed structure of LaSi2Ir5.

Lattice parameters (Å, degrees): 3.931 6.280 6.280 66.97 71.76 71.76
Element x y z (fractional)
La (0.000, 0.000, 0.000)
Si (0.758, 0.742, 0.742)
Si (0.242, 0.258, 0.258)
Ir (0.000, 0.500, 0.500)
Ir (0.646, 0.552, 0.155)
Ir (0.354, 0.448, 0.845)
Ir (0.354, 0.845, 0.448)
Ir (0.646, 0.155, 0.552)

**Formation energy (no corrections)**: -0.68 eV per atom
**Uncorrected energy**: -8.19 eV/atom

12.
## PaBePb2O6 (PBE)

Data for a relaxed structure of PaBePb2O6.

Lattice parameters (Å, degrees): 5.709 5.708 6.545 64.11 64.10 59.99
Last column: magnetic moment on the atom in μB.
Element x y z (fractional)
Pa (0.826, 0.826, 0.522)  0.02
Be (0.250, 0.249, 0.251)  0.00
Pb (0.533, 0.533, 0.400)  0.01
Pb (0.030, 0.030, 0.910)  0.06
O (0.558, 0.147, 0.268)  0.03
O (0.148, 0.026, 0.268)  0.03
O (0.027, 0.558, 0.268)  0.03
O (0.452, 0.745, 0.709)  0.04
O (0.745, 0.093, 0.710)  0.04
O (0.093, 0.452, 0.710)  0.04

**Formation energy (no corrections)**: -2.05 eV per atom
**Uncorrected energy**: -7.08 eV/atom